The following is a PBE calculation of an optimized crystal structure of Th2ScGe4Pd3, from the Alexandria database.

It has space group P-4m2 (No. 115), with a = 4.305 Å, b = 4.305 Å, c = 10.857 Å, α = 90.00°, β = 90.00° and γ = 90.00°. The inequivalent atoms are Th at (0.000, 0.500, 0.237), Sc at (0.000, 0.000, 0.500), Ge at (0.000, 0.000, 0.000), Ge at (0.000, 0.500, 0.649), Ge at (0.500, 0.500, 0.000), Pd at (0.000, 0.500, 0.878) and Pd at (0.500, 0.500, 0.500).

The value obtained for the total magnetization is 0.000 μB/atom. The total DFT energy (no corrections) comes out at -63.2 eV/cell. The crystal system is tetragonal. The value obtained for the energy relative to the elements is -0.802 eV/atom.


The following is a PBE calculation of an optimized crystal structure of YScGePd, from the Alexandria database.

It has space group F-43m (No. 216), with a = 6.896 Å, b = 6.896 Å, c = 6.896 Å, α = 90.00°, β = 90.00° and γ = 90.00°. The inequivalent atoms are Y at (0.000, 0.000, 0.000), Sc at (0.000, 0.000, 0.500), Ge at (0.250, 0.250, 0.750) and Pd at (0.250, 0.250, 0.250).

The value obtained for the total magnetization is 0.000 μB/atom. The total DFT energy (no corrections) comes out at -103.1 eV/cell. The crystal system is cubic. The value obtained for the energy relative to the elements is -0.795 eV/atom.


The following is a PBE calculation of an optimized crystal structure of GePdSe, from the Alexandria database.

It has space group P1 (No. 1), with a = 3.952 Å, b = 5.183 Å, c = 6.644 Å, α = 69.86°, β = 80.98° and γ = 89.62°. The inequivalent atoms are Ge at (0.000, 0.000, 0.000), Ge at (0.425, 0.451, 0.313), Pd at (0.519, 0.754, 0.920), Pd at (0.883, 0.250, 0.561), Se at (0.029, 0.500, 0.807) and Se at (0.672, 0.972, 0.361).

The value obtained for the total magnetization is 0.000 μB/atom. The total DFT energy (no corrections) comes out at -28.0 eV/cell. The crystal system is triclinic. For the formation energy without anion corrections, the calculation gives -0.24 eV/atom.


The following is a PBE calculation of an optimized crystal structure of GePdSe2, from the Alexandria database.

It has space group R3m (No. 160, hexagonal axes), with a = 3.7736 Å, b = 3.7736 Å, c = 19.9452 Å, α = 90.00°, β = 90.00° and γ = 120.00°. The inequivalent atoms are Ge at (0.0000, 0.0000, 0.0000), Pd at (0.0000, 0.0000, 0.1647), Se at (0.0000, 0.0000, 0.5689) and Se at (0.0000, 0.0000, 0.7550).

The value obtained for the total magnetization is 0.000 μB/atom. The total DFT energy (no corrections) comes out at -51.8 eV/cell. The crystal system is trigonal. For the formation energy without anion corrections, the calculation gives -0.12 eV/atom.


The following is a PBE calculation of an optimized crystal structure of GePd2Se3, from the Alexandria database.

It has space group C2/m (No. 12), with a = 13.076 Å, b = 7.558 Å, c = 4.899 Å, α = 90.00°, β = 90.06° and γ = 90.00°. The inequivalent atoms are Ge at (0.167, 0.000, 0.162), Pd at (0.000, 0.000, 0.500), Pd at (0.000, 0.500, 0.500), Pd at (0.250, 0.250, 0.500), Se at (0.087, 0.238, 0.768) and Se at (0.174, 0.500, 0.233).

The value obtained for the total magnetization is 0.000 μB/atom. The total DFT energy (no corrections) comes out at -108.2 eV/cell. The crystal system is monoclinic. For the formation energy without anion corrections, the calculation gives -0.27 eV/atom.


The following is a PBE calculation of an optimized crystal structure of GePdSe2, from the Alexandria database.

It has space group C2/m (No. 12), with a = 11.453 Å, b = 3.948 Å, c = 7.893 Å, α = 90.00°, β = 101.95° and γ = 90.00°. The inequivalent atoms are Ge at (0.177, 0.000, 0.469), Pd at (0.107, 0.500, 0.933), Se at (0.048, 0.000, 0.721) and Se at (0.181, 0.000, 0.129).

The value obtained for the total magnetization is 0.000 μB/atom. The total DFT energy (no corrections) comes out at -69.2 eV/cell. The crystal system is monoclinic. For the formation energy without anion corrections, the calculation gives -0.13 eV/atom.


The following is a PBE calculation of an optimized crystal structure of Ge2Pd7Se2, from the Alexandria database.

It has space group C2/m (No. 12), with a = 7.474 Å, b = 9.684 Å, c = 5.709 Å, α = 90.00°, β = 111.08° and γ = 90.00°. The inequivalent atoms are Ge at (0.000, 0.193, 0.000), Pd at (0.000, 0.500, 0.500), Pd at (0.089, 0.000, 0.304), Pd at (0.178, 0.243, 0.707) and Se at (0.189, 0.500, 0.235).

The value obtained for the total magnetization is 0.000 μB/atom. The total DFT energy (no corrections) comes out at -111.2 eV/cell. The crystal system is monoclinic. For the formation energy without anion corrections, the calculation gives -0.28 eV/atom.


The following is a PBE calculation of an optimized crystal structure of Ge2Pd2Se, from the Alexandria database.

It has space group I4/mmm (No. 139), with a = 4.031 Å, b = 4.031 Å, c = 11.311 Å, α = 90.00°, β = 90.00° and γ = 90.00°. The inequivalent atoms are Ge at (0.000, 0.000, 0.109), Pd at (0.000, 0.500, 0.250) and Se at (0.000, 0.000, 0.500).

For the distance to the lowest polymorph of the same formula, the calculation gives 0 meV/atom. The value obtained for the total magnetization is 0.000 μB/atom. The total DFT energy (no corrections) comes out at -47.7 eV/cell. The crystal system is tetragonal. For the formation energy without anion corrections, the calculation gives -0.15 eV/atom.


> What is the formula in the second record?

YScGePd


> Which value of total DFT energy (no corrections) does entry 8 give?

-47.7 eV/cell


> The highest total DFT energy (no corrections) belongs to which entry?

GePdSe